18
Lattice="7.2412 0.0000 0.0000 0.0000 6.8123 0.0000 -6.7157 0.0000 10.8240" Properties=species:S:1:pos:R:3 comment="TcAg2Br6 PBE optimized geometry" formation_energy_uncorrected_ev_per_fu=-3.1 spacegroup="P2_1/c, No. 14" magmom_total_mub_per_cell=5.93 pbc="T T T"
Tc 0.0000 0.0000 0.0000
Tc -3.3578 3.4061 5.4120
Ag -3.0396 0.0178 8.4984
Ag 0.3182 3.3883 3.0864
Ag 0.2073 3.4240 7.7376
Ag 3.5651 6.7944 2.3256
Br -5.7251 4.7660 9.7434
Br -2.3672 5.4524 4.3314
Br -4.5330 1.2338 10.4704
Br -1.1752 2.1723 5.0584
Br -2.4976 4.2225 7.6918
Br 0.8603 5.9959 2.2798
Br -0.3347 0.8164 8.5442
Br 3.0231 2.5897 3.1322
Br 1.7007 4.6400 5.7656
Br 5.0586 5.5784 0.3536
Br 2.8928 1.3599 6.4925
Br 6.2506 2.0463 1.0805

---

8
Lattice="2.9795 0.0000 0.0000 0.0000 4.6320 0.0000 0.0000 0.0000 9.7415" Properties=species:S:1:pos:R:3 comment="Tc2AgBr PBE optimized geometry" formation_energy_uncorrected_ev_per_fu=3.8 polymorph_energy_mev_per_atom=635 spacegroup="Immm, No. 71" dos_at_fermi_per_ev_cell=10.74 magmom_total_mub_per_cell=0.01 pbc="T T T"
Tc 0.0000 0.0000 2.1903
Tc 0.0000 0.0000 7.5512
Tc 1.4898 2.3160 2.6804
Tc 1.4898 2.3160 7.0611
Ag 0.0000 2.3160 0.0000
Ag 1.4898 0.0000 4.8708
Br 0.0000 2.3160 4.8708
Br 1.4898 0.0000 0.0000

---

14
Lattice="5.3384 0.0000 0.0000 0.0000 5.3384 0.0000 0.0000 0.0000 14.1266" Properties=species:S:1:pos:R:3 comment="TcAg4Br2 PBE optimized geometry" formation_energy_uncorrected_ev_per_fu=5.6 spacegroup="I4/mmm, No. 139" dos_at_fermi_per_ev_cell=10.54 magmom_total_mub_per_cell=6.52 pbc="T T T"
Tc 0.0000 0.0000 0.0000
Tc 2.6692 2.6692 7.0633
Ag 0.0000 0.0000 2.6730
Ag 0.0000 0.0000 11.4536
Ag 0.0000 2.6692 0.0000
Ag 0.0000 2.6692 7.0633
Ag 2.6692 0.0000 0.0000
Ag 2.6692 0.0000 7.0633
Ag 2.6692 2.6692 4.3903
Ag 2.6692 2.6692 9.7364
Br 0.0000 0.0000 5.2323
Br 0.0000 0.0000 8.8943
Br 2.6692 2.6692 1.8310
Br 2.6692 2.6692 12.2956

---

8
Lattice="2.9660 0.0000 0.0000 0.0000 4.9274 0.0000 0.0000 0.0000 9.8194" Properties=species:S:1:pos:R:3 comment="Tc2AgBr PBE optimized geometry" formation_energy_uncorrected_ev_per_fu=2.4 polymorph_energy_mev_per_atom=275 spacegroup="Cmm2, No. 35" dos_at_fermi_per_ev_cell=6.55 magmom_total_mub_per_cell=0.00 pbc="T T T"
Tc 0.0000 0.0000 0.0000
Tc 0.0000 2.4637 2.0106
Tc 1.4830 0.0000 2.0106
Tc 1.4830 2.4637 0.0000
Ag 0.0000 2.4637 7.3426
Ag 1.4830 0.0000 7.3426
Br 0.0000 0.0000 4.4219
Br 1.4830 2.4637 4.4219

---

6
Lattice="0.0000 3.9388 3.9388 3.9388 0.0000 3.9388 3.9388 3.9388 0.0000" Properties=species:S:1:pos:R:3 comment="TcAg4Br PBE optimized geometry" formation_energy_uncorrected_ev_per_fu=4.2 spacegroup="F-43m, No. 216" dos_at_fermi_per_ev_cell=4.33 magmom_total_mub_per_cell=3.69 pbc="T T T"
Tc 0.0000 0.0000 0.0000
Ag 4.9269 2.9507 2.9507
Ag 2.9507 4.9269 2.9507
Ag 2.9507 2.9507 4.9269
Ag 4.9269 4.9269 4.9269
Br 1.9694 1.9694 1.9694

---

8
Lattice="3.7938 0.0000 0.0000 0.0000 3.7938 0.0000 0.0000 0.0000 9.8425" Properties=species:S:1:pos:R:3 comment="Tc2AgBr PBE optimized geometry" formation_energy_uncorrected_ev_per_fu=4.8 polymorph_energy_mev_per_atom=880 spacegroup="I4/mmm, No. 139" dos_at_fermi_per_ev_cell=9.08 magmom_total_mub_per_cell=2.63 pbc="T T T"
Tc 0.0000 1.8969 2.4606
Tc 0.0000 1.8969 7.3819
Tc 1.8969 0.0000 2.4606
Tc 1.8969 0.0000 7.3819
Ag 0.0000 0.0000 0.0000
Ag 1.8969 1.8969 4.9213
Br 0.0000 0.0000 4.9213
Br 1.8969 1.8969 0.0000